Entry 1:
A geometry-optimized Ce4AsPCl2 structure, computed with PBE-GGA.

Output
Formation energy from raw total energies ... -12.09 eV/f.u.
Calculated volume ... 24.43 Å³/atom
Energy ... -49.579 eV per formula unit
Spin magnetization ... 2.70 μB per cell

Cell lengths 6.985, 4.140, 7.190 Å; angles 90.00, 109.95, 90.00 degrees
Sites, in units of the cell vectors:
Ce 0.241 0.000 0.238
Ce 0.247 0.500 0.757
Ce 0.753 0.500 0.243
Ce 0.759 0.000 0.762
As 0.000 0.000 0.500
P 0.000 0.500 0.000
Cl 0.500 0.000 0.000
Cl 0.500 0.500 0.500

Entry 2:
A geometry-optimized Tl4In5Ag structure, computed with PBE-GGA.

Output
ΔH_f (0 K) ... 52 meV per atom
Calculated volume ... 28.76 Å³/atom
Energy ... -25.487 eV per formula unit
Spin magnetization ... 0.00 μB per cell

Cell lengths 7.717, 7.717, 7.717 Å; angles 97.41, 97.41, 137.89 degrees
Sites, in units of the cell vectors:
Tl 0.001 0.680 0.680
Tl 0.320 0.001 0.321
Tl 0.680 0.999 0.679
Tl 0.999 0.320 0.320
In 0.303 0.304 0.628
In 0.304 0.676 0.001
In 0.675 0.303 0.999
In 0.676 0.675 0.372
In 0.802 0.802 0.000
Ag 0.285 0.285 0.000

> Which value of calculated volume does entry 1 give?

24.43 Å³/atom

> What is the formula in the second record?

Tl4In5Ag